#one
First-principles (PBE) data for AlSiN2F after structural relaxation, as listed in the Alexandria database.

Values from the calculation:
Calculated volume, A^3/atom: 9.34
N(E_F), states/eV/atom: 0.228
Total magnetization, μB/cell: 0.0

a b c (Å): 3.670 3.670 3.465
angles (deg): 90.00 90.00 90.00
Space group P4/mmm (No. 123)
One atom of each set of equivalent atoms:
Al: 0.000 0.000 0.000
Si: 0.500 0.500 0.500
N: 0.000 0.500 0.500
F: 0.500 0.500 0.000



#two
First-principles (PBE) data for AlSiN2F after structural relaxation, as listed in the Alexandria database.

Values from the calculation:
Calculated volume, A^3/atom: 10.46
N(E_F), states/eV/atom: 0.577
Total magnetization, μB/cell: 0.4

a b c (Å): 3.858 3.858 3.514
angles (deg): 90.00 90.00 90.00
Space group P4/mmm (No. 123)
One atom of each set of equivalent atoms:
Al: 0.000 0.000 0.000
Si: 0.500 0.500 0.500
N: 0.000 0.500 0.000
F: 0.000 0.000 0.500



It is #two that is the least stable of them.



#one
First-principles (PBE) data for AlSnN2F after structural relaxation, as listed in the Alexandria database.

Values from the calculation:
Calculated volume, A^3/atom: 11.17
N(E_F), states/eV/atom: 0.287
Total magnetization, μB/cell: 0.0

a b c (Å): 3.951 3.951 3.578
angles (deg): 90.00 90.00 90.00
Space group P4/mmm (No. 123)
One atom of each set of equivalent atoms:
Al: 0.000 0.000 0.000
Sn: 0.500 0.500 0.500
N: 0.000 0.500 0.000
F: 0.000 0.000 0.500



#two
First-principles (PBE) data for AlSnN2F after structural relaxation, as listed in the Alexandria database.

Values from the calculation:
Calculated volume, A^3/atom: 13.90
N(E_F), states/eV/atom: 0.128
Total magnetization, μB/cell: 0.0

a b c (Å): 4.145 4.145 4.046
angles (deg): 90.00 90.00 90.00
Space group P4/mmm (No. 123)
One atom of each set of equivalent atoms:
Al: 0.000 0.000 0.000
Sn: 0.500 0.500 0.500
N: 0.000 0.500 0.500
F: 0.500 0.500 0.000



It is #two that is the least stable of them.



#one
First-principles (PBE) data for AlSnNF2 after structural relaxation, as listed in the Alexandria database.

Values from the calculation:
Calculated volume, A^3/atom: 12.09
N(E_F), states/eV/atom: 0.077
Total magnetization, μB/cell: 0.0

a b c (Å): 3.944 3.944 3.886
angles (deg): 90.00 90.00 90.00
Space group P4/mmm (No. 123)
One atom of each set of equivalent atoms:
Al: 0.000 0.000 0.000
Sn: 0.500 0.500 0.500
N: 0.000 0.000 0.500
F: 0.000 0.500 0.000



#two
First-principles (PBE) data for AlSnNF2 after structural relaxation, as listed in the Alexandria database.

Values from the calculation:
Calculated volume, A^3/atom: 15.49
N(E_F), states/eV/atom: 0.151
Total magnetization, μB/cell: 0.0

a b c (Å): 4.446 4.446 3.919
angles (deg): 90.00 90.00 90.00
Space group P4/mmm (No. 123)
One atom of each set of equivalent atoms:
Al: 0.000 0.000 0.000
Sn: 0.500 0.500 0.500
N: 0.500 0.500 0.000
F: 0.000 0.500 0.500



It is #two that is the least stable of them.



#one
First-principles (PBE) data for TaAlNF2 after structural relaxation, as listed in the Alexandria database.

Values from the calculation:
Calculated volume, A^3/atom: 13.55
N(E_F), states/eV/atom: 0.338
Total magnetization, μB/cell: 0.0

a b c (Å): 3.305 3.305 6.201
angles (deg): 90.00 90.00 90.00
Space group P4/mmm (No. 123)
One atom of each set of equivalent atoms:
Ta: 0.000 0.000 0.000
Al: 0.500 0.500 0.500
N: 0.500 0.500 0.000
F: 0.000 0.500 0.500



#two
First-principles (PBE) data for TaAlNF2 after structural relaxation, as listed in the Alexandria database.

Values from the calculation:
Calculated volume, A^3/atom: 14.45
N(E_F), states/eV/atom: 0.435
Total magnetization, μB/cell: 0.0

a b c (Å): 4.233 4.233 4.034
angles (deg): 90.00 90.00 90.00
Space group P4/mmm (No. 123)
One atom of each set of equivalent atoms:
Ta: 0.000 0.000 0.000
Al: 0.500 0.500 0.500
N: 0.000 0.000 0.500
F: 0.000 0.500 0.000



It is #one that is the least stable of them.



#one
First-principles (PBE) data for TaAlN2F after structural relaxation, as listed in the Alexandria database.

Values from the calculation:
Calculated volume, A^3/atom: 13.54
N(E_F), states/eV/atom: 0.428
Total magnetization, μB/cell: 0.0

a b c (Å): 4.095 4.095 4.037
angles (deg): 90.00 90.00 90.00
Space group P4/mmm (No. 123)
One atom of each set of equivalent atoms:
Ta: 0.000 0.000 0.000
Al: 0.500 0.500 0.500
N: 0.000 0.500 0.000
F: 0.000 0.000 0.500



#two
First-principles (PBE) data for TaAlN2F after structural relaxation, as listed in the Alexandria database.

Values from the calculation:
Calculated volume, A^3/atom: 9.96
N(E_F), states/eV/atom: 0.342
Total magnetization, μB/cell: 0.6

a b c (Å): 3.869 3.869 3.328
angles (deg): 90.00 90.00 90.00
Space group P4/mmm (No. 123)
One atom of each set of equivalent atoms:
Ta: 0.000 0.000 0.000
Al: 0.500 0.500 0.500
N: 0.000 0.500 0.500
F: 0.500 0.500 0.000



It is #one that is the least stable of them.



#one
First-principles (PBE) data for AlTeNF2 after structural relaxation, as listed in the Alexandria database.

Values from the calculation:
Calculated volume, A^3/atom: 12.62
N(E_F), states/eV/atom: 0.245
Total magnetization, μB/cell: 0.0

a b c (Å): 3.592 3.592 4.892
angles (deg): 90.00 90.00 90.00
Space group P4/mmm (No. 123)
One atom of each set of equivalent atoms:
Al: 0.000 0.000 0.000
Te: 0.500 0.500 0.500
N: 0.000 0.000 0.500
F: 0.000 0.500 0.000



#two
First-principles (PBE) data for AlTeNF2 after structural relaxation, as listed in the Alexandria database.

Values from the calculation:
Calculated volume, A^3/atom: 17.98
N(E_F), states/eV/atom: 0.106
Total magnetization, μB/cell: 0.0

a b c (Å): 4.687 4.687 4.093
angles (deg): 90.00 90.00 90.00
Space group P4/mmm (No. 123)
One atom of each set of equivalent atoms:
Al: 0.000 0.000 0.000
Te: 0.500 0.500 0.500
N: 0.500 0.500 0.000
F: 0.000 0.500 0.500



It is #two that is the least stable of them.



#one
First-principles (PBE) data for AlTeN2F after structural relaxation, as listed in the Alexandria database.

Values from the calculation:
Calculated volume, A^3/atom: 14.62
N(E_F), states/eV/atom: 0.458
Total magnetization, μB/cell: 0.3

a b c (Å): 4.103 4.103 4.344
angles (deg): 90.00 90.00 90.00
Space group P4/mmm (No. 123)
One atom of each set of equivalent atoms:
Al: 0.000 0.000 0.000
Te: 0.500 0.500 0.500
N: 0.000 0.500 0.500
F: 0.500 0.500 0.000



#two
First-principles (PBE) data for AlTeN2F after structural relaxation, as listed in the Alexandria database.

Values from the calculation:
Calculated volume, A^3/atom: 17.01
N(E_F), states/eV/atom: 0.514
Total magnetization, μB/cell: 4.3

a b c (Å): 4.509 4.509 4.181
angles (deg): 90.00 90.00 90.00
Space group P4/mmm (No. 123)
One atom of each set of equivalent atoms:
Al: 0.000 0.000 0.000
Te: 0.500 0.500 0.000
N: 0.000 0.500 0.500
F: 0.500 0.500 0.500



It is #two that is the least stable of them.